# 1
Here is a relaxed YSi2IrRh crystal from Alexandria via LeMat-Bulk. Energies are from PBE.

The structure in POSCAR format:
```
YSi2IrRh
1.0
4.0729 0.0000 0.0000
0.0000 4.0729 0.0000
-2.0365 -2.0365 5.0011
Si Ir Rh Y
2 1 1 1
Direct
0.3783 0.3783 0.7567
0.6217 0.6217 0.2433
0.7500 0.2500 0.5000
0.2500 0.7500 0.5000
0.0000 0.0000 0.0000
```

- Formation energy from raw total energies: -1.109 eV/atom
- ΔE to the lowest computed polymorph: 0.000 eV per atom
- Total magnetization: 0.00 Bohr magnetons per cell
- Crystal system: tetragonal
- Theoretical density: 8.8 g cm⁻³

***

# 2
Here is a relaxed EuZrTc4 crystal from Alexandria via LeMat-Bulk. Energies are from PBE.

The structure in POSCAR format:
```
EuZrTc4
1.0
5.3637 0.0000 0.0000
2.6819 4.6451 0.0000
2.6819 1.5484 4.3794
Tc Zr Eu
4 1 1
Direct
0.6246 0.6246 0.6246
0.6246 0.1262 0.6246
0.6246 0.6246 0.1262
0.1262 0.6246 0.6246
0.2500 0.2500 0.2500
0.0000 0.0000 0.0000
```

- Total magnetization: 6.07 Bohr magnetons per cell
- ΔH_f (0 K): 2.5 kJ per mole of atoms
- Crystal system: cubic
- Theoretical density: 9.7 g cm⁻³